# 1
# NbNiTe6

A relaxed NbNiTe6 crystal (PBE, Alexandria).

Unit cell a=6.6386 b=6.6442 c=6.6555 alpha=61.68 beta=61.63 gamma=61.68
Last column: nearest neighbours and their distance in Å.
Positions (direct):
Nb 0.0000 0.0000 0.0000  6 Te 2.77
Ni 0.5000 0.5000 0.5000  6 Te 2.62
Te 0.0742 0.7245 0.4422  1 Ni 2.62, 1 Nb 2.77
Te 0.2736 0.5571 0.9259  1 Ni 2.62, 1 Nb 2.77
Te 0.4436 0.0737 0.7241  1 Ni 2.62, 1 Nb 2.77
Te 0.5564 0.9263 0.2759  1 Ni 2.62, 1 Nb 2.77
Te 0.7264 0.4429 0.0741  1 Ni 2.62, 1 Nb 2.77
Te 0.9258 0.2755 0.5578  1 Ni 2.62, 1 Nb 2.77

---

# 2
# NbNiTe5

A relaxed NbNiTe5 crystal (PBE, Alexandria).

Unit cell a=7.1525 b=7.1525 c=15.2550 alpha=90.00 beta=90.00 gamma=149.97
Last column: nearest neighbours and their distance in Å.
Positions (direct):
Nb 0.0075 0.9925 0.7500  8 Te 2.85-2.94
Nb 0.9925 0.0075 0.2500  8 Te 2.85-2.94
Ni 0.5000 0.5000 0.0000  6 Te 2.58-2.61
Ni 0.5000 0.5000 0.5000  6 Te 2.58-2.61
Te 0.0992 0.9008 0.5760  2 Ni 2.58
Te 0.0992 0.9008 0.9240  2 Ni 2.58
Te 0.3355 0.6645 0.2500  2 Nb 2.85
Te 0.3991 0.6009 0.6447  1 Ni 2.61, 2 Nb 2.87
Te 0.3991 0.6009 0.8553  1 Ni 2.61, 2 Nb 2.87
Te 0.6009 0.3991 0.1447  1 Ni 2.61, 2 Nb 2.87
Te 0.6009 0.3991 0.3553  1 Ni 2.61, 2 Nb 2.87
Te 0.6645 0.3355 0.7500  2 Nb 2.85
Te 0.9008 0.0992 0.0760  2 Ni 2.58
Te 0.9008 0.0992 0.4240  2 Ni 2.58

---

Number 1: formation energy from raw total energies -0.080 eV/atom, total energy -4.418 eV per atom, density of states at the Fermi level 4.6 states/eV/cell. Number 2: formation energy from raw total energies -0.333 eV/atom, total energy -4.842 eV per atom, density of states at the Fermi level 4.9 states/eV/cell.